The following is a DFT calculation (PBE) of a relaxed NiHgSb2Te crystal.

Cell lengths 5.485, 5.485, 5.649 Å; angles 90.00, 90.00, 90.00 degrees
Sites, in units of the cell vectors:
Ni: 0.000 0.000 0.000
Hg: 0.500 0.500 0.500
Sb: 0.000 0.500 0.500
Sb: 0.500 0.000 0.500
Te: 0.500 0.500 0.000

Output
Formation energy without anion corrections (eV per formula unit): 6.41
Theoretical density (g/cm3): 6.16
Excess energy over the best structure of this formula in the dataset (eV per atom): 0.9900
Total magnetization (μB/f.u.): 0.7


The following is a DFT calculation (PBE) of a relaxed SmTh2Ge2 crystal.

Cell lengths 7.905, 7.905, 4.243 Å; angles 90.00, 90.00, 90.00 degrees
Sites, in units of the cell vectors:
Sm: 0.000 0.000 0.000
Sm: 0.500 0.500 0.000
Th: 0.176 0.324 0.500
Th: 0.324 0.824 0.500
Th: 0.676 0.176 0.500
Th: 0.824 0.676 0.500
Ge: 0.124 0.624 0.000
Ge: 0.376 0.124 0.000
Ge: 0.624 0.876 0.000
Ge: 0.876 0.376 0.000

Output
Theoretical density (g/cm3): 9.52
Calculated formation energy (eV per atom): -0.709
Total magnetization (μB/f.u.): 0.0


The following is a DFT calculation (PBE) of a relaxed Dy2Ag2Au crystal.

Cell lengths 7.979, 7.979, 3.566 Å; angles 90.00, 90.00, 149.86 degrees
Sites, in units of the cell vectors:
Dy: 0.110 0.890 0.000
Dy: 0.890 0.110 0.000
Ag: 0.307 0.693 0.500
Ag: 0.693 0.307 0.500
Au: 0.500 0.500 0.500

Output
Theoretical density (g/cm3): 10.75
Calculated formation energy (eV per atom): -0.429
Excess energy over the best structure of this formula in the dataset (eV per atom): 0.0000
Total magnetization (μB/f.u.): 0.0


The following is a DFT calculation (PBE) of a relaxed BaLaBe2 crystal.

Cell lengths 9.082, 9.082, 9.082 Å; angles 25.50, 25.50, 25.50 degrees
Sites, in units of the cell vectors:
Ba: 0.000 0.000 0.000
La: 0.500 0.500 0.500
Be: 0.242 0.242 0.242
Be: 0.758 0.758 0.758

Output
Theoretical density (g/cm3): 4.00
Calculated formation energy (eV per atom): 0.735
Excess energy over the best structure of this formula in the dataset (eV per atom): 0.4820
Total magnetization (μB/f.u.): 0.0


The following is a DFT calculation (PBE) of a relaxed Sc2AsSe crystal.

Cell lengths 3.491, 4.241, 5.417 Å; angles 90.00, 90.00, 90.00 degrees
Sites, in units of the cell vectors:
Sc: 0.000 0.000 0.000
Sc: 0.000 0.500 0.500
As: 0.500 0.000 0.500
Se: 0.500 0.500 0.000

Output
Formation energy without anion corrections (eV per formula unit): -4.47
Theoretical density (g/cm3): 5.05
Excess energy over the best structure of this formula in the dataset (eV per atom): 0.4359
Total magnetization (μB/f.u.): 0.0


The following is a DFT calculation (PBE) of a relaxed LaNdEuAl crystal.

Cell lengths 5.572, 5.572, 5.572 Å; angles 60.00, 60.00, 60.00 degrees
Sites, in units of the cell vectors:
La: 0.000 0.000 0.000
Nd: 0.500 0.500 0.500
Eu: 0.250 0.250 0.250
Al: 0.750 0.750 0.750

Output
Theoretical density (g/cm3): 6.27
Calculated formation energy (eV per atom): -0.073
Total magnetization (μB/f.u.): 7.3


The following is a DFT calculation (PBE) of a relaxed K3Cd9Ag2 crystal.

Cell lengths 9.352, 9.352, 9.352 Å; angles 149.36, 108.67, 79.60 degrees
Sites, in units of the cell vectors:
K: 0.000 0.000 0.000
K: 0.309 0.309 0.000
K: 0.691 0.691 0.000
Cd: 0.029 0.671 0.359
Cd: 0.159 0.879 0.280
Cd: 0.312 0.671 0.641
Cd: 0.402 0.121 0.280
Cd: 0.500 0.000 0.500
Cd: 0.598 0.879 0.720
Cd: 0.688 0.329 0.359
Cd: 0.841 0.121 0.720
Cd: 0.971 0.329 0.641
Ag: 0.292 0.500 0.792
Ag: 0.708 0.500 0.208

Output
Theoretical density (g/cm3): 5.77
Calculated formation energy (eV per atom): -0.063
Total magnetization (μB/f.u.): 0.0


The following is a DFT calculation (PBE) of a relaxed NaCe2Tl3 crystal.

Cell lengths 3.562, 3.562, 13.327 Å; angles 90.00, 90.00, 90.00 degrees
Sites, in units of the cell vectors:
Na: 0.000 0.000 0.000
Ce: 0.000 0.000 0.329
Ce: 0.000 0.000 0.671
Tl: 0.500 0.500 0.159
Tl: 0.500 0.500 0.500
Tl: 0.500 0.500 0.841

Output
Theoretical density (g/cm3): 9.00
Calculated formation energy (eV per atom): -0.179
Total magnetization (μB/f.u.): 2.7


The following is a DFT calculation (PBE) of a relaxed CuPd3F9 crystal.

Cell lengths 6.495, 6.495, 10.527 Å; angles 100.41, 100.41, 70.16 degrees
Sites, in units of the cell vectors:
Cu: 0.008 0.992 0.500
Cu: 0.992 0.008 0.000
Pd: 0.070 0.546 0.683
Pd: 0.334 0.660 0.256
Pd: 0.345 0.934 0.825
Pd: 0.546 0.070 0.183
Pd: 0.660 0.334 0.756
Pd: 0.934 0.345 0.325
F: 0.015 0.342 0.525
F: 0.083 0.783 0.114
F: 0.100 0.555 0.326
F: 0.109 0.777 0.839
F: 0.215 0.938 0.376
F: 0.257 0.909 0.632
F: 0.342 0.015 0.025
F: 0.378 0.461 0.637
F: 0.461 0.378 0.137
F: 0.543 0.571 0.891
F: 0.555 0.100 0.826
F: 0.571 0.543 0.391
F: 0.598 0.765 0.211
F: 0.765 0.598 0.711
F: 0.777 0.109 0.339
F: 0.783 0.083 0.614
F: 0.909 0.257 0.132
F: 0.938 0.215 0.876

Output
Formation energy without anion corrections (eV per formula unit): -15.45
Theoretical density (g/cm3): 4.51
Total magnetization (μB/f.u.): 0.0


The following is a DFT calculation (PBE) of a relaxed Y3HoPd12 crystal.

Cell lengths 4.122, 4.122, 16.577 Å; angles 90.00, 90.00, 90.00 degrees
Sites, in units of the cell vectors:
Y: 0.000 0.000 0.000
Y: 0.000 0.000 0.251
Y: 0.000 0.000 0.749
Ho: 0.000 0.000 0.500
Pd: 0.000 0.500 0.125
Pd: 0.000 0.500 0.376
Pd: 0.000 0.500 0.624
Pd: 0.000 0.500 0.875
Pd: 0.500 0.000 0.125
Pd: 0.500 0.000 0.376
Pd: 0.500 0.000 0.624
Pd: 0.500 0.000 0.875
Pd: 0.500 0.500 0.000
Pd: 0.500 0.500 0.251
Pd: 0.500 0.500 0.500
Pd: 0.500 0.500 0.749

Output
Theoretical density (g/cm3): 10.07
Calculated formation energy (eV per atom): -0.856
Total magnetization (μB/f.u.): 0.0


The following is a DFT calculation (PBE) of a relaxed ScTlHg2 crystal.

Cell lengths 9.556, 9.556, 9.556 Å; angles 21.46, 21.46, 21.46 degrees
Sites, in units of the cell vectors:
Sc: 0.000 0.000 0.000
Tl: 0.500 0.500 0.500
Hg: 0.257 0.257 0.257
Hg: 0.743 0.743 0.743

Output
Theoretical density (g/cm3): 10.56
Calculated formation energy (eV per atom): -0.119
Total magnetization (μB/f.u.): 0.0


The following is a DFT calculation (PBE) of a relaxed KCo3Cl12 crystal.

Cell lengths 13.320, 13.320, 13.320 Å; angles 50.43, 50.43, 50.43 degrees
Sites, in units of the cell vectors:
K: 0.000 0.000 0.000
K: 0.500 0.500 0.500
Co: 0.147 0.785 0.396
Co: 0.285 0.647 0.896
Co: 0.396 0.147 0.785
Co: 0.647 0.896 0.285
Co: 0.785 0.396 0.147
Co: 0.896 0.285 0.647
Cl: 0.041 0.067 0.689
Cl: 0.067 0.689 0.041
Cl: 0.177 0.805 0.206
Cl: 0.189 0.567 0.541
Cl: 0.206 0.177 0.805
Cl: 0.298 0.842 0.343
Cl: 0.305 0.677 0.706
Cl: 0.342 0.798 0.843
Cl: 0.343 0.298 0.842
Cl: 0.415 0.438 0.990
Cl: 0.438 0.990 0.415
Cl: 0.490 0.938 0.915
Cl: 0.541 0.189 0.567
Cl: 0.567 0.541 0.189
Cl: 0.677 0.706 0.305
Cl: 0.689 0.041 0.067
Cl: 0.706 0.305 0.677
Cl: 0.798 0.843 0.342
Cl: 0.805 0.206 0.177
Cl: 0.842 0.343 0.298
Cl: 0.843 0.342 0.798
Cl: 0.915 0.490 0.938
Cl: 0.938 0.915 0.490
Cl: 0.990 0.415 0.438

Output
Formation energy without anion corrections (eV per formula unit): -9.95
Theoretical density (g/cm3): 1.65
Total magnetization (μB/f.u.): 14.0


The following is a DFT calculation (PBE) of a relaxed MgTl2In3 crystal.

Cell lengths 9.466, 9.466, 11.181 Å; angles 116.32, 116.32, 21.41 degrees
Sites, in units of the cell vectors:
Mg: 0.097 0.097 0.464
Mg: 0.903 0.903 0.536
Tl: 0.248 0.248 0.867
Tl: 0.432 0.432 0.315
Tl: 0.568 0.568 0.685
Tl: 0.752 0.752 0.133
In: 0.078 0.078 0.960
In: 0.248 0.248 0.379
In: 0.415 0.415 0.781
In: 0.585 0.585 0.219
In: 0.752 0.752 0.621
In: 0.922 0.922 0.040

Output
Theoretical density (g/cm3): 7.91
Calculated formation energy (eV per atom): -0.001
Excess energy over the best structure of this formula in the dataset (eV per atom): 0.0000
Total magnetization (μB/f.u.): 0.0


The following is a DFT calculation (PBE) of a relaxed MnCdSi crystal.

Cell lengths 6.323, 6.323, 6.323 Å; angles 153.98, 153.98, 37.12 degrees
Sites, in units of the cell vectors:
Mn: 0.000 0.000 0.000
Cd: 0.678 0.678 0.000
Si: 0.375 0.375 0.000

Output
Formation energy without anion corrections (eV per formula unit): 0.68
Theoretical density (g/cm3): 6.68
Excess energy over the best structure of this formula in the dataset (eV per atom): 0.1989
Total magnetization (μB/f.u.): 2.9


The following is a DFT calculation (PBE) of a relaxed TaHg2Sb crystal.

Cell lengths 3.081, 3.081, 10.094 Å; angles 90.00, 90.00, 90.00 degrees
Sites, in units of the cell vectors:
Ta: 0.000 0.000 0.000
Hg: 0.000 0.000 0.465
Hg: 0.500 0.500 0.203
Sb: 0.500 0.500 0.789

Output
Formation energy without anion corrections (eV per formula unit): 1.00
Theoretical density (g/cm3): 12.20
Total magnetization (μB/f.u.): 0.0


The following is a DFT calculation (PBE) of a relaxed CsTl2I4 crystal.

Cell lengths 9.736, 9.736, 9.736 Å; angles 136.78, 136.78, 62.78 degrees
Sites, in units of the cell vectors:
Cs: 0.000 0.000 0.000
Tl: 0.407 0.407 0.000
Tl: 0.593 0.593 0.000
I: 0.000 0.500 0.500
I: 0.233 0.233 0.000
I: 0.500 0.000 0.500
I: 0.767 0.767 0.000

Output
Formation energy without anion corrections (eV per formula unit): -3.90
Theoretical density (g/cm3): 4.08
Total magnetization (μB/f.u.): 0.0


The following is a DFT calculation (PBE) of a relaxed Rb2BaFeBr6 crystal.

Cell lengths 8.165, 8.165, 8.165 Å; angles 120.11, 120.11, 89.82 degrees
Sites, in units of the cell vectors:
Rb: 0.250 0.750 0.500
Rb: 0.750 0.250 0.500
Ba: 0.000 0.000 0.000
Fe: 0.500 0.500 0.000
Br: 0.272 0.272 0.000
Br: 0.273 0.273 0.545
Br: 0.273 0.727 0.000
Br: 0.727 0.273 0.000
Br: 0.727 0.727 0.455
Br: 0.728 0.728 0.000

Output
Formation energy without anion corrections (eV per formula unit): -14.02
Theoretical density (g/cm3): 3.64
Total magnetization (μB/f.u.): 4.0


The following is a DFT calculation (PBE) of a relaxed GaCuAg crystal.

Cell lengths 2.988, 2.988, 10.305 Å; angles 90.00, 90.00, 90.00 degrees
Sites, in units of the cell vectors:
Ga: 0.250 0.250 0.215
Ga: 0.750 0.750 0.785
Cu: 0.250 0.250 0.930
Cu: 0.750 0.750 0.070
Ag: 0.250 0.250 0.601
Ag: 0.750 0.750 0.399

Output
Theoretical density (g/cm3): 8.70
Calculated formation energy (eV per atom): -0.030
Excess energy over the best structure of this formula in the dataset (eV per atom): 0.0041
Total magnetization (μB/f.u.): 0.0


The following is a DFT calculation (PBE) of a relaxed Tb2SmErAs4 crystal.

Cell lengths 7.176, 4.146, 7.177 Å; angles 90.00, 109.47, 90.00 degrees
Sites, in units of the cell vectors:
Tb: 0.000 0.000 0.000
Tb: 0.500 0.500 0.000
Sm: 0.000 0.500 0.500
Er: 0.500 0.000 0.500
As: 0.254 0.000 0.752
As: 0.254 0.500 0.251
As: 0.746 0.000 0.248
As: 0.746 0.500 0.749

Output
Theoretical density (g/cm3): 7.71
Calculated formation energy (eV per atom): -1.529
Total magnetization (μB/f.u.): 0.0


The following is a DFT calculation (PBE) of a relaxed LaZn2Mo crystal.

Cell lengths 2.959, 2.959, 8.582 Å; angles 90.00, 90.00, 90.00 degrees
Sites, in units of the cell vectors:
La: 0.000 0.000 0.000
Zn: 0.500 0.500 0.287
Zn: 0.500 0.500 0.713
Mo: 0.000 0.000 0.500

Output
Theoretical density (g/cm3): 8.08
Calculated formation energy (eV per atom): 0.147
Excess energy over the best structure of this formula in the dataset (eV per atom): 0.0456
Total magnetization (μB/f.u.): 0.0